(1)
Below is crystalline AcPuN2 at its relaxed geometry, with properties calculated at the GGA-PBE level.

Computed properties:
Its calculated density is 13.3 g/cm³. The space group is P4/mmm (123). The formation energy from raw total energies is -0.47 eV per atom. The value obtained for the volume is 15.590 Å³ per atom. The value obtained for the total magnetization is 4.8 μB/f.u. The raw total energy comes out at -9.243 eV/atom.

Lattice parameters (Å, degrees): 3.1504 3.1504 6.2830 90.00 90.00 90.00
Fractional positions:
Ac 0.0000 0.0000 0.0000
Pu 0.0000 0.0000 0.5000
N 0.5000 0.5000 0.2677
N 0.5000 0.5000 0.7323

---

(2)
Below is crystalline Pr3Si2Ni4 at its relaxed geometry, with properties calculated at the GGA-PBE level.

Computed properties:
Its calculated density is 6.8 g/cm³. The space group is C2/m (12). The formation energy from raw total energies is -0.56 eV per atom. The value obtained for the volume is 19.280 Å³ per atom. The value obtained for the total magnetization is 0.0 μB/f.u. The raw total energy comes out at -5.931 eV/atom.

Lattice parameters (Å, degrees): 5.8831 5.8831 8.3933 110.73 110.73 40.16
Fractional positions:
Pr 0.0000 0.0000 0.0000
Pr 0.3764 0.3764 0.3067
Pr 0.6236 0.6236 0.6933
Si 0.3443 0.3443 0.6970
Si 0.6557 0.6557 0.3030
Ni 0.1619 0.1619 0.4381
Ni 0.2790 0.2790 0.9359
Ni 0.7210 0.7210 0.0641
Ni 0.8381 0.8381 0.5619

---

no.,D(E_F) (states/eV per cell)
1,6.52
2,7.22